Density functional theory data (GGA-PBE) for NaSr2SeO6 after structural relaxation.

Total energy ... -5.543 eV/atom
Space-group type ... Fm-3m, No. 225
Formation energy without anion corrections ... -1752 meV per atom
M_tot ... 0.968 μB/cell

abc: 5.689 5.689 5.689
angles: 60.00 60.00 60.00
Fractional coordinates of all 10 atoms:
Na (0.000, 0.000, 0.000)
Sr (0.250, 0.250, 0.250)
Sr (0.750, 0.750, 0.750)
Se (0.500, 0.500, 0.500)
O (0.275, 0.275, 0.725)
O (0.275, 0.725, 0.275)
O (0.275, 0.725, 0.725)
O (0.725, 0.275, 0.275)
O (0.725, 0.275, 0.725)
O (0.725, 0.725, 0.275)